First-principles (meta-GGA SCAN) data for Mo2Cl at its PBEsol-relaxed geometry, as listed in Alexandria via LeMat-Bulk.

Geometry as CIF:
```
data_Mo2Cl
_cell_length_a 11.234
_cell_length_b 3.113
_cell_length_c 6.471
_cell_angle_alpha 90.00
_cell_angle_beta 111.33
_cell_angle_gamma 90.00
_space_group_name_H-M_alt 'C 1 m 1'
_space_group_IT_number 8
loop_
_space_group_symop_operation_xyz
'x,y,z'
'x,-y,z'
'x+1/2,y+1/2,z'
'x+1/2,-y+1/2,z'
loop_
_atom_site_label
_atom_site_fract_x
_atom_site_fract_y
_atom_site_fract_z
Mo1 0.000 0.000 0.000
Mo2 0.010 0.500 0.722
Mo3 0.236 0.000 0.965
Mo4 0.271 0.500 0.708
Cl1 0.177 0.500 0.298
Cl2 0.420 0.000 0.312
```

## Properties
Calculated volume = 17.57 Å³/atom
Uncorrected energy = -309.71 eV per cell
ΔE_f (raw) = 107 meV per atom
E above lowest polymorph = 0.000 eV per atom